Entry 1:
{
  "formula": "Sm3HoPu3Te8",
  "functional": "GGA-PBE",
  "state": "relaxed",
  "total_magnetization_mub_per_fu": 17.652,
  "sg": "R-3m, No. 166",
  "vol_a3_per_atom": 32.69,
  "e_form_raw_mev_per_atom": -1295.9,
  "lattice_angstrom": [[4.4241, 2.5543, 7.2313], [-4.4241, 2.5543, 7.2313], [0.0000, -5.1085, 7.2313]],
  "species": ["Sm", "Sm", "Sm", "Ho", "Pu", "Pu", "Pu", "Te", "Te", "Te", "Te", "Te", "Te", "Te", "Te"],
  "frac_coords": [[0.0000, 0.5000, 0.5000], [0.5000, 0.0000, 0.5000], [0.5000, 0.5000, 0.0000], [0.0000, 0.0000, 0.0000], [0.0000, 0.0000, 0.5000], [0.0000, 0.5000, 0.0000], [0.5000, 0.0000, 0.0000], [0.2491, 0.2491, 0.2491], [0.2499, 0.2499, 0.7504], [0.2499, 0.7504, 0.2499], [0.2496, 0.7501, 0.7501], [0.7504, 0.2499, 0.2499], [0.7501, 0.2496, 0.7501], [0.7501, 0.7501, 0.2496], [0.7509, 0.7509, 0.7509]]
}

=====

Entry 2:
{
  "formula": "SmHoPu2Te5",
  "functional": "GGA-PBE",
  "state": "relaxed",
  "total_magnetization_mub_per_fu": 11.923,
  "sg": "P4/mmm, No. 123",
  "vol_a3_per_atom": 39.35,
  "e_form_raw_mev_per_atom": -703.7,
  "lattice_angstrom": [[5.5053, 0.0000, 0.0000], [0.0000, 5.5053, 0.0000], [0.0000, 0.0000, 11.6858]],
  "species": ["Sm", "Ho", "Pu", "Pu", "Te", "Te", "Te", "Te", "Te"],
  "frac_coords": [[0.0000, 0.0000, 0.0000], [0.0000, 0.0000, 0.5000], [0.5000, 0.5000, 0.3214], [0.5000, 0.5000, 0.6786], [0.0000, 0.0000, 0.2472], [0.0000, 0.0000, 0.7528], [0.0000, 0.5000, 0.5000], [0.5000, 0.0000, 0.5000], [0.5000, 0.5000, 0.0000]]
}

=====

Entry 3:
{
  "formula": "Sm2Ho3PuTe6",
  "functional": "GGA-PBE",
  "state": "relaxed",
  "total_magnetization_mub_per_fu": 6.138,
  "sg": "C2/m, No. 12",
  "vol_a3_per_atom": 29.84,
  "e_form_raw_mev_per_atom": -1284.8,
  "lattice_angstrom": [[9.5801, -2.1806, 0.0000], [9.5801, 2.1806, 0.0000], [-2.1063, 0.0000, 8.5711]],
  "species": ["Sm", "Sm", "Ho", "Ho", "Ho", "Pu", "Te", "Te", "Te", "Te", "Te", "Te"],
  "frac_coords": [[0.1657, 0.1657, 0.3321], [0.8343, 0.8343, 0.6679], [0.1674, 0.1674, 0.8353], [0.5000, 0.5000, 0.5000], [0.8326, 0.8326, 0.1647], [0.5000, 0.5000, 0.0000], [0.0025, 0.0025, 0.7467], [0.3320, 0.3320, 0.9215], [0.3350, 0.3350, 0.4110], [0.6650, 0.6650, 0.5890], [0.6680, 0.6680, 0.0785], [0.9975, 0.9975, 0.2533]]
}

=====

Entry 4:
{
  "formula": "Sm3Ho3PuTe8",
  "functional": "GGA-PBE",
  "state": "relaxed",
  "total_magnetization_mub_per_fu": 6.224,
  "sg": "R-3m, No. 166",
  "vol_a3_per_atom": 31.70,
  "e_form_raw_mev_per_atom": -1337.9,
  "lattice_angstrom": [[4.3755, 2.5262, 7.1690], [-4.3755, 2.5262, 7.1690], [0.0000, -5.0524, 7.1690]],
  "species": ["Sm", "Sm", "Sm", "Ho", "Ho", "Ho", "Pu", "Te", "Te", "Te", "Te", "Te", "Te", "Te", "Te"],
  "frac_coords": [[0.0000, 0.5000, 0.5000], [0.5000, 0.0000, 0.5000], [0.5000, 0.5000, 0.0000], [0.0000, 0.0000, 0.5000], [0.0000, 0.5000, 0.0000], [0.5000, 0.0000, 0.0000], [0.5000, 0.5000, 0.5000], [0.2371, 0.7571, 0.7571], [0.2429, 0.2429, 0.7629], [0.2429, 0.7629, 0.2429], [0.2471, 0.2471, 0.2471], [0.7529, 0.7529, 0.7529], [0.7571, 0.2371, 0.7571], [0.7571, 0.7571, 0.2371], [0.7629, 0.2429, 0.2429]]
}

=====

Entry 5:
{
  "formula": "SmHo3Pu2Te6",
  "functional": "GGA-PBE",
  "state": "relaxed",
  "total_magnetization_mub_per_fu": 12.059,
  "sg": "C2/m, No. 12",
  "vol_a3_per_atom": 29.81,
  "e_form_raw_mev_per_atom": -1243.5,
  "lattice_angstrom": [[9.5774, -2.1821, 0.0000], [9.5774, 2.1821, 0.0000], [-2.0947, 0.0000, 8.5575]],
  "species": ["Sm", "Ho", "Ho", "Ho", "Pu", "Pu", "Te", "Te", "Te", "Te", "Te", "Te"],
  "frac_coords": [[0.0000, 0.0000, 0.0000], [0.0000, 0.0000, 0.5000], [0.3341, 0.3341, 0.1664], [0.6659, 0.6659, 0.8336], [0.3341, 0.3341, 0.6676], [0.6659, 0.6659, 0.3324], [0.1655, 0.1655, 0.5869], [0.1688, 0.1688, 0.0799], [0.4984, 0.4984, 0.2554], [0.5016, 0.5016, 0.7446], [0.8312, 0.8312, 0.9201], [0.8345, 0.8345, 0.4131]]
}

=====

Entry 6:
{
  "formula": "SmHoPuTh",
  "functional": "GGA-PBE",
  "state": "relaxed",
  "total_magnetization_mub_per_fu": 8.145,
  "sg": "F-43m, No. 216",
  "formation_enthalpy_0k_mev_per_atom": 213,
  "vol_a3_per_atom": 30.97,
  "lattice_angstrom": [[0.0000, 3.9566, 3.9566], [3.9566, 0.0000, 3.9566], [3.9566, 3.9566, 0.0000]],
  "species": ["Sm", "Ho", "Pu", "Th"],
  "frac_coords": [[0.0000, 0.0000, 0.0000], [0.7500, 0.7500, 0.7500], [0.2500, 0.2500, 0.2500], [0.5000, 0.5000, 0.5000]]
}

=====

Entry 7:
{
  "formula": "SmHoPuTl",
  "functional": "GGA-PBE",
  "state": "relaxed",
  "total_magnetization_mub_per_fu": 6.659,
  "sg": "F-43m, No. 216",
  "formation_enthalpy_0k_mev_per_atom": 42,
  "vol_a3_per_atom": 28.54,
  "lattice_angstrom": [[0.0000, 3.8501, 3.8501], [3.8501, 0.0000, 3.8501], [3.8501, 3.8501, 0.0000]],
  "species": ["Sm", "Ho", "Pu", "Tl"],
  "frac_coords": [[0.0000, 0.0000, 0.0000], [0.5000, 0.5000, 0.5000], [0.7500, 0.7500, 0.7500], [0.2500, 0.2500, 0.2500]]
}

=====

Entry 8:
{
  "formula": "SmHoTmPu",
  "functional": "GGA-PBE",
  "state": "relaxed",
  "total_magnetization_mub_per_fu": 6.370,
  "sg": "F-43m, No. 216",
  "formation_enthalpy_0k_mev_per_atom": 196,
  "vol_a3_per_atom": 30.82,
  "lattice_angstrom": [[0.0000, 3.9503, 3.9503], [3.9503, 0.0000, 3.9503], [3.9503, 3.9503, 0.0000]],
  "species": ["Sm", "Ho", "Tm", "Pu"],
  "frac_coords": [[0.0000, 0.0000, 0.0000], [0.7500, 0.7500, 0.7500], [0.2500, 0.2500, 0.2500], [0.5000, 0.5000, 0.5000]]
}

=====

Entry 9:
{
  "formula": "Sm6Ho2Tm3Pu",
  "functional": "GGA-PBE",
  "state": "relaxed",
  "total_magnetization_mub_per_fu": 6.630,
  "sg": "C2/m, No. 12",
  "formation_enthalpy_0k_mev_per_atom": 45,
  "vol_a3_per_atom": 31.70,
  "lattice_angstrom": [[3.0885, -5.3500, 0.0000], [3.0885, 5.3500, 0.0000], [-2.0609, 0.0000, 11.5105]],
  "species": ["Sm", "Sm", "Sm", "Sm", "Sm", "Sm", "Ho", "Ho", "Tm", "Tm", "Tm", "Pu"],
  "frac_coords": [[0.0828, 0.4129, 0.7495], [0.2473, 0.2473, 0.2506], [0.4129, 0.0828, 0.7495], [0.5871, 0.9172, 0.2505], [0.7527, 0.7527, 0.7494], [0.9172, 0.5871, 0.2505], [0.3334, 0.6666, 0.5000], [0.6666, 0.3334, 0.5000], [0.1669, 0.8331, 0.0000], [0.5000, 0.5000, 0.0000], [0.8331, 0.1669, 0.0000], [0.0000, 0.0000, 0.5000]]
}

=====

Entry 10:
{
  "formula": "Sm6Ho3Tm2Pu",
  "functional": "GGA-PBE",
  "state": "relaxed",
  "total_magnetization_mub_per_fu": 6.654,
  "sg": "C2/m, No. 12",
  "formation_enthalpy_0k_mev_per_atom": 44,
  "vol_a3_per_atom": 31.78,
  "lattice_angstrom": [[3.0895, -5.3519, 0.0000], [3.0895, 5.3519, 0.0000], [-2.0614, 0.0000, 11.5317]],
  "species": ["Sm", "Sm", "Sm", "Sm", "Sm", "Sm", "Ho", "Ho", "Ho", "Tm", "Tm", "Pu"],
  "frac_coords": [[0.0825, 0.4126, 0.7478], [0.2477, 0.2477, 0.2525], [0.4126, 0.0825, 0.7478], [0.5874, 0.9175, 0.2522], [0.7523, 0.7523, 0.7475], [0.9175, 0.5874, 0.2522], [0.1669, 0.8331, 0.0000], [0.5000, 0.5000, 0.0000], [0.8331, 0.1669, 0.0000], [0.3334, 0.6666, 0.5000], [0.6666, 0.3334, 0.5000], [0.0000, 0.0000, 0.5000]]
}

=====

Entry 11:
{
  "formula": "Sm6Y3Ho2Pu",
  "functional": "GGA-PBE",
  "state": "relaxed",
  "total_magnetization_mub_per_fu": 6.616,
  "sg": "C2/m, No. 12",
  "formation_enthalpy_0k_mev_per_atom": 44,
  "vol_a3_per_atom": 32.32,
  "lattice_angstrom": [[3.1060, -5.3811, 0.0000], [3.1060, 5.3811, 0.0000], [-2.0743, 0.0000, 11.6015]],
  "species": ["Sm", "Sm", "Sm", "Sm", "Sm", "Sm", "Y", "Y", "Y", "Ho", "Ho", "Pu"],
  "frac_coords": [[0.0821, 0.4119, 0.2470], [0.2477, 0.2477, 0.7531], [0.4119, 0.0821, 0.2470], [0.5881, 0.9179, 0.7530], [0.7523, 0.7523, 0.2469], [0.9179, 0.5881, 0.7530], [0.1669, 0.8331, 0.5000], [0.5000, 0.5000, 0.5000], [0.8331, 0.1669, 0.5000], [0.3335, 0.6665, 0.0000], [0.6665, 0.3335, 0.0000], [0.0000, 0.0000, 0.0000]]
}

=====

Entry 12:
{
  "formula": "Sm2Y3Ho6Pu",
  "functional": "GGA-PBE",
  "state": "relaxed",
  "total_magnetization_mub_per_fu": 6.297,
  "sg": "C2/m, No. 12",
  "formation_enthalpy_0k_mev_per_atom": 49,
  "vol_a3_per_atom": 31.40,
  "lattice_angstrom": [[3.0704, -5.3215, 0.0000], [3.0704, 5.3215, 0.0000], [-2.0551, 0.0000, 11.5290]],
  "species": ["Sm", "Sm", "Y", "Y", "Y", "Ho", "Ho", "Ho", "Ho", "Ho", "Ho", "Pu"],
  "frac_coords": [[0.1666, 0.8334, 0.0000], [0.8334, 0.1666, 0.0000], [0.0000, 0.0000, 0.5000], [0.3331, 0.6669, 0.5000], [0.6669, 0.3331, 0.5000], [0.0884, 0.4174, 0.7512], [0.2535, 0.2535, 0.2489], [0.4174, 0.0884, 0.7512], [0.5826, 0.9116, 0.2488], [0.7465, 0.7465, 0.7511], [0.9116, 0.5826, 0.2488], [0.5000, 0.5000, 0.0000]]
}